[1]
The following is a PBE-GGA calculation of TePAu4 after structural relaxation, from the Alexandria database.

Unit cell a=5.572 b=5.572 c=5.572 alpha=60.00 beta=60.00 gamma=60.00
Atoms (fractional coordinates):
Te 0.000 0.000 0.000
P 0.750 0.750 0.750
Au 0.874 0.375 0.375
Au 0.375 0.375 0.874
Au 0.375 0.874 0.375
Au 0.375 0.375 0.375

VASP energy: -3.20 eV per atom
density: 12.85 g/cm3
crystal system: cubic
density of states at the Fermi level: 0.472 states/eV per atom
size of the total moment: 0.000 μB per formula unit
symmetry: F-43m
formation energy (no corrections): 413.6 meV/atom

[2]
The following is a PBE-GGA calculation of TeP4Au after structural relaxation, from the Alexandria database.

Unit cell a=5.765 b=5.765 c=5.765 alpha=60.00 beta=60.00 gamma=60.00
Atoms (fractional coordinates):
Te 0.750 0.750 0.750
P 0.960 0.347 0.347
P 0.347 0.347 0.960
P 0.347 0.960 0.347
P 0.347 0.347 0.347
Au 0.000 0.000 0.000

VASP energy: -4.09 eV per atom
density: 5.50 g/cm3
crystal system: cubic
density of states at the Fermi level: 0.411 states/eV per atom
size of the total moment: 0.000 μB per formula unit
symmetry: F-43m
formation energy (no corrections): 588.9 meV/atom

[3]
The following is a PBE-GGA calculation of TeP2Au4 after structural relaxation, from the Alexandria database.

Unit cell a=5.360 b=5.360 c=7.194 alpha=68.12 beta=68.12 gamma=90.00
Atoms (fractional coordinates):
P 0.588 0.588 0.824
P 0.412 0.412 0.176
Te 0.000 0.000 0.000
Au 0.776 0.776 0.448
Au 0.224 0.224 0.552
Au 0.000 0.500 0.000
Au 0.500 0.000 0.000

VASP energy: -3.35 eV per atom
density: 9.24 g/cm3
crystal system: tetragonal
density of states at the Fermi level: 0.605 states/eV per atom
size of the total moment: 0.000 μB per formula unit
symmetry: I4/mmm
formation energy (no corrections): 513.1 meV/atom

[4]
The following is a PBE-GGA calculation of Tl2Te4PAu after structural relaxation, from the Alexandria database.

Unit cell a=8.225 b=8.225 c=7.082 alpha=125.48 beta=125.48 gamma=90.02
Atoms (fractional coordinates):
Tl 0.485 0.985 0.970
Tl 0.236 0.236 0.472
Te 0.746 0.683 0.798
Te 0.789 0.420 0.146
Te 0.357 0.726 0.146
Te 0.052 0.115 0.799
P 0.736 0.736 0.472
Au 0.987 0.486 0.973

VASP energy: -3.31 eV per atom
density: 6.96 g/cm3
crystal system: monoclinic
density of states at the Fermi level: 0.053 states/eV per atom
size of the total moment: 0.000 μB per formula unit
symmetry: C2
formation energy (no corrections): -62.8 meV/atom

[5]
The following is a PBE-GGA calculation of Tm4Te2PAu after structural relaxation, from the Alexandria database.

Unit cell a=4.076 b=7.280 c=7.394 alpha=71.73 beta=90.00 gamma=90.00
Atoms (fractional coordinates):
Tm 0.000 0.716 0.753
Tm 0.000 0.284 0.247
Tm 0.500 0.714 0.271
Tm 0.500 0.286 0.729
Te 0.000 0.000 0.000
Te 0.500 0.000 0.500
P 0.000 0.500 0.500
Au 0.500 0.500 0.000

VASP energy: -5.33 eV per atom
density: 9.24 g/cm3
crystal system: monoclinic
density of states at the Fermi level: 0.573 states/eV per atom
size of the total moment: 0.000 μB per formula unit
symmetry: P2/m
formation energy (no corrections): -1222.1 meV/atom

[6]
The following is a PBE-GGA calculation of TePWAu2 after structural relaxation, from the Alexandria database.

Unit cell a=5.116 b=5.186 c=5.116 alpha=90.00 beta=90.00 gamma=90.00
Last column: magnetic moment on the atom in μB.
Atoms (fractional coordinates):
P 0.000 0.500 0.000  -0.32
Te 0.000 0.000 0.000  -0.02
Au 0.000 0.000 0.500  -0.06
Au 0.500 0.000 0.000  0.01
W 0.500 0.500 0.500  3.18

VASP energy: -3.81 eV per atom
density: 9.01 g/cm3
crystal system: tetragonal
density of states at the Fermi level: 0.719 states/eV per atom
size of the total moment: 3.564 μB per formula unit
symmetry: P4/mmm
formation energy (no corrections): 1803.5 meV/atom

[7]
The following is a PBE-GGA calculation of Y4Te2PAu after structural relaxation, from the Alexandria database.

Unit cell a=4.148 b=7.389 c=7.454 alpha=71.64 beta=90.00 gamma=90.00
Atoms (fractional coordinates):
Y 0.000 0.722 0.749
Y 0.000 0.278 0.251
Y 0.500 0.717 0.272
Y 0.500 0.283 0.728
Te 0.000 0.000 0.000
Te 0.500 0.000 0.500
P 0.000 0.500 0.500
Au 0.500 0.500 0.000

VASP energy: -6.39 eV per atom
density: 6.42 g/cm3
crystal system: monoclinic
density of states at the Fermi level: 0.589 states/eV per atom
size of the total moment: 0.000 μB per formula unit
symmetry: P2/m
formation energy (no corrections): -1286.3 meV/atom

[8]
The following is a PBE-GGA calculation of Th2PAu after structural relaxation, from the Alexandria database.

Unit cell a=4.022 b=4.022 c=7.966 alpha=75.38 beta=75.38 gamma=60.00
Atoms (fractional coordinates):
Th 0.074 0.074 0.778
Th 0.258 0.258 0.225
P 0.668 0.668 0.997
Au 0.500 0.500 0.501

VASP energy: -6.86 eV per atom
density: 10.76 g/cm3
crystal system: trigonal
density of states at the Fermi level: 0.638 states/eV per atom
size of the total moment: 0.000 μB per formula unit
calculated formation energy: -0.98 eV/atom
symmetry: R3m

[9]
The following is a PBE-GGA calculation of ThPAu after structural relaxation, from the Alexandria database.

Unit cell a=4.010 b=4.010 c=10.075 alpha=101.48 beta=101.48 gamma=90.00
Atoms (fractional coordinates):
P 0.309 0.309 0.617
P 0.691 0.691 0.383
Th 0.161 0.161 0.323
Th 0.839 0.839 0.677
Au 0.566 0.566 0.131
Au 0.434 0.434 0.869

VASP energy: -6.17 eV per atom
density: 9.83 g/cm3
crystal system: tetragonal
density of states at the Fermi level: 0.457 states/eV per atom
size of the total moment: 0.000 μB per formula unit
calculated formation energy: -0.80 eV/atom
symmetry: I4/mmm

[10]
The following is a PBE-GGA calculation of Ti2PAu after structural relaxation, from the Alexandria database.

Unit cell a=6.955 b=6.955 c=5.667 alpha=52.15 beta=52.15 gamma=90.00
Atoms (fractional coordinates):
P 0.500 0.500 0.000
P 0.250 0.750 0.500
Au 0.000 0.000 0.000
Au 0.750 0.250 0.500
Ti 0.597 0.125 0.250
Ti 0.153 0.625 0.250
Ti 0.375 0.403 0.750
Ti 0.875 0.847 0.750

VASP energy: -6.51 eV per atom
density: 7.89 g/cm3
crystal system: tetragonal
density of states at the Fermi level: 1.046 states/eV per atom
size of the total moment: 0.000 μB per formula unit
calculated formation energy: -0.39 eV/atom
symmetry: I-42d

[11]
The following is a PBE-GGA calculation of Ti2PAu after structural relaxation, from the Alexandria database.

Unit cell a=3.421 b=3.421 c=7.048 alpha=75.95 beta=75.95 gamma=60.00
Atoms (fractional coordinates):
P 0.000 0.000 0.000
Au 0.500 0.500 0.500
Ti 0.734 0.734 0.797
Ti 0.266 0.266 0.203

VASP energy: -6.82 eV per atom
density: 7.84 g/cm3
crystal system: trigonal
density of states at the Fermi level: 0.408 states/eV per atom
size of the total moment: 0.000 μB per formula unit
calculated formation energy: -0.70 eV/atom
symmetry: R-3m

[12]
The following is a PBE-GGA calculation of Ti2PAu2 after structural relaxation, from the Alexandria database.

Unit cell a=6.477 b=6.477 c=4.207 alpha=90.00 beta=90.00 gamma=90.00
Atoms (fractional coordinates):
P 0.000 0.000 0.000
P 0.500 0.500 0.000
Au 0.148 0.648 0.500
Au 0.648 0.852 0.500
Au 0.852 0.352 0.500
Au 0.352 0.148 0.500
Ti 0.341 0.841 0.000
Ti 0.841 0.659 0.000
Ti 0.659 0.159 0.000
Ti 0.159 0.341 0.000

VASP energy: -5.95 eV per atom
energy above the most stable polymorph in this dataset: 0.0 meV per atom
density: 9.80 g/cm3
crystal system: tetragonal
density of states at the Fermi level: 0.785 states/eV per atom
size of the total moment: 0.000 μB per formula unit
calculated formation energy: -0.40 eV/atom
symmetry: P4/mbm

[13]
The following is a PBE-GGA calculation of Ti2PAu2 after structural relaxation, from the Alexandria database.

Unit cell a=3.664 b=3.664 c=7.403 alpha=75.67 beta=75.67 gamma=90.00
Last column: magnetic moment on the atom in μB.
Atoms (fractional coordinates):
P 0.000 0.000 0.000  -0.08
Au 0.750 0.250 0.500  0.05
Au 0.250 0.750 0.500  0.05
Ti 0.409 0.409 0.181  1.12
Ti 0.591 0.591 0.819  1.12

VASP energy: -5.62 eV per atom
energy above the most stable polymorph in this dataset: 337.6 meV per atom
density: 9.29 g/cm3
crystal system: tetragonal
density of states at the Fermi level: 0.620 states/eV per atom
size of the total moment: 2.716 μB per formula unit
calculated formation energy: -0.07 eV/atom
symmetry: I4/mmm

[14]
The following is a PBE-GGA calculation of TlPAu2 after structural relaxation, from the Alexandria database.

Unit cell a=6.055 b=6.055 c=3.171 alpha=72.48 beta=72.48 gamma=118.78
Atoms (fractional coordinates):
Au 0.000 0.000 0.000
Au 0.500 0.500 0.000
P 0.500 0.000 0.500
Tl 0.000 0.500 0.500

VASP energy: -3.19 eV per atom
energy above the most stable polymorph in this dataset: 448.5 meV per atom
density: 12.71 g/cm3
crystal system: monoclinic
density of states at the Fermi level: 0.307 states/eV per atom
size of the total moment: 0.000 μB per formula unit
calculated formation energy: 0.39 eV/atom
symmetry: C2/m

[15]
The following is a PBE-GGA calculation of TlPAu2 after structural relaxation, from the Alexandria database.

Unit cell a=5.543 b=5.543 c=5.543 alpha=143.60 beta=119.88 gamma=72.36
Atoms (fractional coordinates):
Au 0.973 0.973 0.000
Au 0.729 0.229 0.500
P 0.541 0.541 0.000
Tl 0.257 0.757 0.500

VASP energy: -3.31 eV per atom
energy above the most stable polymorph in this dataset: 333.2 meV per atom
density: 12.15 g/cm3
crystal system: orthorhombic
density of states at the Fermi level: 0.391 states/eV per atom
size of the total moment: 0.000 μB per formula unit
calculated formation energy: 0.27 eV/atom
symmetry: Imm2

[16]
The following is a PBE-GGA calculation of TlPAu2 after structural relaxation, from the Alexandria database.

Unit cell a=3.932 b=6.796 c=5.629 alpha=35.17 beta=90.00 gamma=90.00
Atoms (fractional coordinates):
Au 0.000 0.000 0.000
Au 0.500 0.500 0.000
P 0.500 0.500 0.500
Tl 0.000 0.000 0.500

VASP energy: -3.30 eV per atom
energy above the most stable polymorph in this dataset: 342.2 meV per atom
density: 12.06 g/cm3
crystal system: monoclinic
density of states at the Fermi level: 0.402 states/eV per atom
size of the total moment: 0.000 μB per formula unit
calculated formation energy: 0.28 eV/atom
symmetry: P2/m

[17]
The following is a PBE-GGA calculation of TlPAu2 after structural relaxation, from the Alexandria database.

Unit cell a=5.994 b=5.994 c=5.994 alpha=150.67 beta=127.92 gamma=60.90
Atoms (fractional coordinates):
Au 0.960 0.960 0.000
Au 0.540 0.540 0.000
P 0.750 0.250 0.500
Tl 0.250 0.750 0.500

VASP energy: -3.27 eV per atom
energy above the most stable polymorph in this dataset: 373.5 meV per atom
density: 12.66 g/cm3
crystal system: orthorhombic
density of states at the Fermi level: 0.409 states/eV per atom
size of the total moment: 0.000 μB per formula unit
calculated formation energy: 0.31 eV/atom
symmetry: Immm

[18]
The following is a PBE-GGA calculation of Tl3P4Au4 after structural relaxation, from the Alexandria database.

Unit cell a=3.260 b=8.796 c=8.796 alpha=71.24 beta=79.32 gamma=79.32
Atoms (fractional coordinates):
Tl 0.890 0.110 0.110
Tl 0.110 0.890 0.890
Tl 0.000 0.500 0.500
P 0.700 0.093 0.506
P 0.300 0.494 0.907
P 0.300 0.907 0.494
P 0.700 0.506 0.093
Au 0.795 0.705 0.705
Au 0.205 0.295 0.295
Au 0.500 0.758 0.242
Au 0.500 0.242 0.758

VASP energy: -3.64 eV per atom
density: 10.89 g/cm3
crystal system: orthorhombic
density of states at the Fermi level: 0.324 states/eV per atom
size of the total moment: 0.000 μB per formula unit
calculated formation energy: 0.16 eV/atom
symmetry: Immm

[19]
The following is a PBE-GGA calculation of Tl6PAu4 after structural relaxation, from the Alexandria database.

Unit cell a=7.319 b=9.562 c=9.562 alpha=120.00 beta=90.00 gamma=90.00
Atoms (fractional coordinates):
Tl 0.450 0.744 0.872
Tl 0.450 0.128 0.256
Tl 0.450 0.128 0.872
Tl 0.950 0.256 0.128
Tl 0.950 0.872 0.744
Tl 0.950 0.872 0.128
Tl 0.645 0.931 0.466
Tl 0.645 0.534 0.069
Tl 0.645 0.534 0.466
Tl 0.145 0.069 0.534
Tl 0.145 0.466 0.931
Tl 0.145 0.466 0.534
P 0.755 0.333 0.667
P 0.255 0.667 0.333
Au 0.428 0.333 0.667
Au 0.928 0.667 0.333
Au 0.842 0.618 0.809
Au 0.842 0.191 0.382
Au 0.842 0.191 0.809
Au 0.342 0.382 0.191
Au 0.342 0.809 0.618
Au 0.342 0.809 0.191

VASP energy: -2.99 eV per atom
density: 11.72 g/cm3
crystal system: hexagonal
density of states at the Fermi level: 0.575 states/eV per atom
size of the total moment: 0.000 μB per formula unit
calculated formation energy: -0.02 eV/atom
symmetry: P6_3mc

[20]
The following is a PBE-GGA calculation of TlPAu2 after structural relaxation, from the Alexandria database.

Unit cell a=4.843 b=4.843 c=4.843 alpha=60.00 beta=60.00 gamma=60.00
Atoms (fractional coordinates):
P 0.000 0.000 0.000
Tl 0.500 0.500 0.500
Au 0.250 0.250 0.250
Au 0.750 0.750 0.750

VASP energy: -3.18 eV per atom
energy above the most stable polymorph in this dataset: 466.7 meV per atom
density: 13.01 g/cm3
crystal system: cubic
density of states at the Fermi level: 0.393 states/eV per atom
size of the total moment: 0.000 μB per formula unit
calculated formation energy: 0.41 eV/atom
symmetry: Fm-3m